The following is a DFT calculation (PBE) of YTl3Tc after structural relaxation.

Properties
- Energy of formation: 1.393 eV/atom
- Crystal system: cubic
- Total DFT energy (no corrections): -3.393 eV per atom

```
YTl3Tc
1.0
5.796 0.000 0.000
0.000 5.796 0.000
0.000 0.000 5.796
Y Tl Tc
1 3 1
Direct
0.000 0.000 0.000
0.000 0.000 0.500
0.000 0.500 0.000
0.500 0.000 0.000
0.500 0.500 0.500
```

The following is a DFT calculation (PBE) of La2CeTcHg after structural relaxation.

Properties
- Energy of formation: -0.116 eV/atom
- Crystal system: tetragonal
- Total DFT energy (no corrections): -5.408 eV per atom

```
La2CeTcHg
1.0
5.554 0.000 0.000
0.000 5.554 0.000
0.000 0.000 5.240
La Ce Tc Hg
2 1 1 1
Direct
0.000 0.500 0.000
0.500 0.000 0.000
0.000 0.000 0.509
0.000 0.000 0.066
0.500 0.500 0.570
```

The following is a DFT calculation (PBE) of Sr2MnCl after structural relaxation.

Properties
- Uncorrected formation energy: -0.261 eV per atom
- Crystal system: tetragonal
- Total DFT energy (no corrections): -3.856 eV per atom

```
Sr2MnCl
1.0
3.918 0.000 0.000
0.000 3.918 0.000
0.000 0.000 9.822
Sr Mn Cl
2 1 1
Direct
0.000 0.000 0.000
0.500 0.500 0.349
0.500 0.500 0.802
0.000 0.000 0.474
```